Compound: MoPW2
Source: Alexandria via LeMat-Bulk
Functional: GGA-PBE
Structure: optimized geometry

The space group is R3m (No. 160, hexagonal axes) and the conventional cell measures 2.9963, 2.9963 and 23.9171 Å, with angles of 90.00, 90.00 and 120.00 degrees. Symmetry generates all atoms from Mo at (0.0000, 0.0000, 0.0000), P at (0.0000, 0.0000, 0.2561), W at (0.0000, 0.0000, 0.5144) and W at (0.0000, 0.0000, 0.7561).

The formation energy is 4.7 kcal/mol of atoms. The theoretical density is 13250 kg/m3. The crystal system is trigonal. As for the spin magnetization: 0.00 Bohr magnetons per cell. The calculation puts the total DFT energy (no corrections) at -10.332 eV/atom.

Compound: Mo3PW
Source: Alexandria via LeMat-Bulk
Functional: GGA-PBE
Structure: optimized geometry

The space group is Pm-3m (No. 221) and the conventional cell measures 4.403, 4.403 and 4.403 Å, with angles of 90.00, 90.00 and 90.00 degrees. Symmetry generates all atoms from Mo at (0.000, 0.000, 0.500), P at (0.000, 0.000, 0.000) and W at (0.500, 0.500, 0.500).

The formation energy is 16.4 kcal/mol of atoms. The theoretical density is 9777 kg/m3. The crystal system is cubic. As for the spin magnetization: 0.00 Bohr magnetons per cell. The calculation puts the total DFT energy (no corrections) at -9.459 eV/atom. As for the distance to the lowest polymorph of the same formula: 0.0 kJ per mole of atoms.

Q: Among the records above, which one has the lowest total DFT energy (no corrections)?
A: MoPW2

Q: Which value of formation energy does entry 2 give?
A: 16.4 kcal/mol of atoms

What did the second record say?
Compound: Mo3PW
Source: Alexandria via LeMat-Bulk
Functional: GGA-PBE
Structure: optimized geometry

The space group is Pm-3m (No. 221) and the conventional cell measures 4.403, 4.403 and 4.403 Å, with angles of 90.00, 90.00 and 90.00 degrees. Symmetry generates all atoms from Mo at (0.000, 0.000, 0.500), P at (0.000, 0.000, 0.000) and W at (0.500, 0.500, 0.500).

The formation energy is 16.4 kcal/mol of atoms. The theoretical density is 9777 kg/m3. The crystal system is cubic. As for the spin magnetization: 0.00 Bohr magnetons per cell. The calculation puts the total DFT energy (no corrections) at -9.459 eV/atom. As for the distance to the lowest polymorph of the same formula: 0.0 kJ per mole of atoms.

Please write out number 2 again, unchanged.
Compound: Mo3PW
Source: Alexandria via LeMat-Bulk
Functional: GGA-PBE
Structure: optimized geometry

The space group is Pm-3m (No. 221) and the conventional cell measures 4.403, 4.403 and 4.403 Å, with angles of 90.00, 90.00 and 90.00 degrees. Symmetry generates all atoms from Mo at (0.000, 0.000, 0.500), P at (0.000, 0.000, 0.000) and W at (0.500, 0.500, 0.500).

The formation energy is 16.4 kcal/mol of atoms. The theoretical density is 9777 kg/m3. The crystal system is cubic. As for the spin magnetization: 0.00 Bohr magnetons per cell. The calculation puts the total DFT energy (no corrections) at -9.459 eV/atom. As for the distance to the lowest polymorph of the same formula: 0.0 kJ per mole of atoms.